{"formula": "BaNd2", "functional": "GGA-PBE", "state": "optimized geometry", "lattice_angstrom": [[0.000, 5.099, 5.099], [5.099, 0.000, 5.099], [5.099, 5.099, 0.000]], "species": ["Ba", "Ba", "Nd", "Nd", "Nd", "Nd"], "fractional_positions": [[0.125, 0.125, 0.125], [0.875, 0.875, 0.875], [0.000, 0.500, 0.500], [0.500, 0.000, 0.500], [0.500, 0.500, 0.000], [0.500, 0.500, 0.500]], "de_polymorph_mev_per_atom": 135, "final_energy_ev_per_fu": -10.7, "ef_mev_per_atom": 259}

{"formula": "Ho6Tl5In", "functional": "GGA-PBE", "state": "optimized geometry", "lattice_angstrom": [[4.921, -5.588, 0.000], [4.921, 5.588, 0.000], [-1.428, 0.000, 6.293]], "species": ["Ho", "Ho", "Ho", "Ho", "Ho", "Ho", "Tl", "Tl", "Tl", "Tl", "Tl", "In"], "fractional_positions": [[0.084, 0.415, 0.750], [0.248, 0.248, 0.245], [0.415, 0.084, 0.750], [0.585, 0.916, 0.250], [0.752, 0.752, 0.755], [0.916, 0.585, 0.250], [0.000, 0.000, 0.500], [0.170, 0.830, 0.000], [0.336, 0.664, 0.500], [0.664, 0.336, 0.500], [0.830, 0.170, 0.000], [0.500, 0.500, 0.000]], "de_polymorph_mev_per_atom": 88, "final_energy_ev_per_fu": -45.1, "ef_mev_per_atom": -258}